Record 1
Computed, not measured: an optimized crystal structure of MnCrNi2N at the PBE level of DFT.

Unit cell a=3.823 b=3.823 c=3.770 alpha=90.00 beta=90.00 gamma=90.00
Fractional positions:
1 Mn 0.500 0.500 0.500
2 Ni 0.000 0.500 0.000
3 Ni 0.500 0.000 0.000
4 Cr 0.000 0.000 0.500
5 N 0.000 0.000 0.000

Computed properties:
DOS(E_F) (states/eV/cell): 3.7
Space-group type: P4/mmm, No. 123
Raw formation energy (eV per formula unit): -0.36


Record 2
Computed, not measured: an optimized crystal structure of Np2MnCrN5 at the PBE level of DFT.

Unit cell a=3.207 b=6.553 c=9.665 alpha=90.00 beta=90.00 gamma=104.16
Fractional positions:
1 Cr 0.453 0.906 0.456
2 Cr 0.547 0.094 0.956
3 N 0.314 0.629 0.378
4 N 0.368 0.736 0.001
5 N 0.686 0.371 0.878
6 N 0.506 0.011 0.279
7 N 0.715 0.430 0.154
8 N 0.494 0.989 0.779
9 N 0.632 0.264 0.501
10 N 0.944 0.889 0.557
11 N 0.056 0.111 0.057
12 N 0.285 0.570 0.654
13 Np 0.854 0.708 0.807
14 Np 0.110 0.220 0.675
15 Np 0.890 0.780 0.175
16 Np 0.146 0.292 0.307
17 Mn 0.207 0.413 0.018
18 Mn 0.793 0.587 0.518

Computed properties:
DOS(E_F) (states/eV/cell): 18.1
Space-group type: Cmc2_1, No. 36
Raw formation energy (eV per formula unit): -7.18